Entry 1:
This record from Alexandria via LeMat-Bulk describes a relaxed La4CdOs crystal. The functional is PBE-GGA.

The structure in CIF format:
```
data_La4CdOs
_chemical_formula_sum 'La16 Cd4 Os4'
_cell_length_a 9.4855
_cell_length_b 15.3042
_cell_length_c 7.0357
_cell_angle_alpha 90.00
_cell_angle_beta 123.58
_cell_angle_gamma 90.00
_space_group_name_H-M_alt 'C 1 2/c 1'
_space_group_IT_number 15
loop_
_space_group_symop_operation_xyz
'x,y,z'
'-x,-y,-z'
'-x,y,-z+1/2'
'x,-y,z+1/2'
'x+1/2,y+1/2,z'
'-x+1/2,-y+1/2,-z'
'-x+1/2,y+1/2,-z+1/2'
'x+1/2,-y+1/2,z+1/2'
loop_
_atom_site_label
_atom_site_type_symbol
_atom_site_fract_x
_atom_site_fract_y
_atom_site_fract_z
La1 La 0.1513 0.2123 0.1486
La2 La 0.2211 0.0420 0.7214
Cd1 Cd 0.0000 0.3821 0.7500
Os1 Os 0.0000 0.0860 0.2500
```

* calculated total energy: -5.435 eV per atom

=====

Entry 2:
This record from Alexandria via LeMat-Bulk describes a relaxed La4CdOs crystal. The functional is PBE-GGA.

The structure in CIF format:
```
data_La4CdOs
_chemical_formula_sum 'La16 Cd4 Os4'
_cell_length_a 8.8167
_cell_length_b 8.8167
_cell_length_c 8.8167
_cell_angle_alpha 90.00
_cell_angle_beta 90.00
_cell_angle_gamma 90.00
_space_group_name_H-M_alt 'F -4 3 m'
_space_group_IT_number 216
_space_group_name_Hall 'F -4 2 3'
loop_
_atom_site_label
_atom_site_type_symbol
_atom_site_fract_x
_atom_site_fract_y
_atom_site_fract_z
La1 La 0.1231 0.1231 0.1231
Cd1 Cd 0.0000 0.0000 0.5000
Os1 Os 0.2500 0.2500 0.7500
```

* calculated total energy: -4.545 eV per atom

=====

Entry 3:
This record from Alexandria via LeMat-Bulk describes a relaxed La8Cd2Os crystal. The functional is PBE-GGA.

The structure in CIF format:
```
data_La8Cd2Os
_chemical_formula_sum 'La16 Cd4 Os2'
_cell_length_a 18.6198
_cell_length_b 5.6204
_cell_length_c 7.1533
_cell_angle_alpha 90.00
_cell_angle_beta 110.09
_cell_angle_gamma 90.00
_space_group_name_H-M_alt 'C 1 2/m 1'
_space_group_IT_number 12
loop_
_space_group_symop_operation_xyz
'x,y,z'
'-x,-y,-z'
'-x,y,-z'
'x,-y,z'
'x+1/2,y+1/2,z'
'-x+1/2,-y+1/2,-z'
'-x+1/2,y+1/2,-z'
'x+1/2,-y+1/2,z'
loop_
_atom_site_label
_atom_site_type_symbol
_atom_site_fract_x
_atom_site_fract_y
_atom_site_fract_z
La1 La 0.0116 0.0000 0.2936
La2 La 0.0896 0.5000 0.9120
La3 La 0.1500 0.5000 0.4491
La4 La 0.2062 0.0000 0.7750
Cd1 Cd 0.1748 0.0000 0.1982
Os1 Os 0.0000 0.5000 0.5000
```

* calculated total energy: -4.909 eV per atom

=====

Question: The lowest calculated total energy belongs to which entry?
Answer: number 1